Density functional theory data (GGA-PBE) for a relaxed structure of Ba2SnOsS6.

Results
Its relative energy among the computed polymorphs is 0.0 kJ/mol of atoms. As for the total energy: -52.28 eV/cell. For the volume, the calculation gives 24.02 Å³ per atom.

a b c (Å): 6.8142 6.8142 7.3067
angles (deg): 119.72 119.72 59.62
With the nearest neighbours (Å) after each atom.
Sites, in units of the cell vectors:
Ba: 0.2457 0.2457 0.2449  7 S 3.09-3.44
Ba: 0.7543 0.7543 0.7551  7 S 3.09-3.44
Sn: 0.0000 0.0000 0.5000  6 S 2.59-2.68
Os: 0.5000 0.5000 0.0000  6 S 2.39-2.41
S: 0.2065 0.6972 0.1814  1 Os 2.39
S: 0.2631 0.2631 0.6838  1 Os 2.41, 1 Sn 2.59
S: 0.3028 0.7935 0.8186  1 Os 2.39
S: 0.6972 0.2065 0.1814  1 Os 2.39
S: 0.7369 0.7369 0.3162  1 Os 2.41, 1 Sn 2.59
S: 0.7935 0.3028 0.8186  1 Os 2.39